Compound: VRuO2F
Source: the Alexandria database
Functional: GGA+U
Structure: optimized geometry

As for the density of states at the Fermi level: 5.76 states/eV per cell. The calculation puts the calculated density at 5.8 Mg/m³. As for the total magnetization: 3.28 Bohr magnetons per cell. The calculation puts the total energy at -31.92 eV for the cell shown.

The structure belongs to space group P4/mmm (No. 123); the cell edges are 3.820, 3.820 and 3.988 Å and the angles 90.00°, 90.00° and 90.00°. The inequivalent atoms are V at (0.000, 0.000, 0.000), Ru at (0.500, 0.500, 0.500), O at (0.000, 0.500, 0.000) and F at (0.000, 0.000, 0.500).